No. 1
# Tb8Hg2Ru

A geometry-optimized Tb8Hg2Ru structure (PBE, the Alexandria database).

Lattice parameters (Å, degrees): 5.0239 8.4510 14.2189 90.00 90.00 90.00
Space group Immm (No. 71)
One atom of each set of equivalent atoms:
Tb 0.0000 0.0000 0.1199
Tb 0.0000 0.2305 0.3488
Tb 0.0000 0.3308 0.0000
Hg 0.0000 0.5000 0.2008
Ru 0.0000 0.5000 0.5000

Summary:
- Theoretical density: 9.8 g cm⁻³
- Energy above the most stable polymorph in this dataset: 0.1247 eV per atom
- Calculated formation energy: -0.1371 eV per atom


No. 2
# Tb2HgRu

A geometry-optimized Tb2HgRu structure (PBE, the Alexandria database).

Lattice parameters (Å, degrees): 3.4896 3.4896 7.5669 90.00 90.00 90.00
Space group P4/mmm (No. 123)
One atom of each set of equivalent atoms:
Tb 0.0000 0.0000 0.2200
Hg 0.5000 0.5000 0.5000
Ru 0.5000 0.5000 0.0000

Summary:
- Theoretical density: 11.2 g cm⁻³
- Energy above the most stable polymorph in this dataset: 0.0000 eV per atom
- Calculated formation energy: -0.4631 eV per atom


No. 3
# Tb4Hg2Ru

A geometry-optimized Tb4Hg2Ru structure (PBE, the Alexandria database).

Lattice parameters (Å, degrees): 11.2404 4.4649 8.7415 90.00 121.11 90.00
Space group C2/m (No. 12)
One atom of each set of equivalent atoms:
Tb 0.0718 0.0000 0.3480
Tb 0.1700 0.5000 0.0633
Hg 0.1488 0.5000 0.6686
Ru 0.0000 0.0000 0.0000

Summary:
- Theoretical density: 10.1 g cm⁻³
- Calculated formation energy: -0.3764 eV per atom


No. 4
# Tb5HgRu

A geometry-optimized Tb5HgRu structure (PBE, the Alexandria database).

Lattice parameters (Å, degrees): 9.4051 7.3559 11.8088 90.00 106.43 90.00
Space group C2/c (No. 15)
One atom of each set of equivalent atoms:
Tb 0.0000 0.0068 0.2500
Tb 0.1216 0.3311 0.5626
Tb 0.2486 0.1674 0.1263
Hg 0.0000 0.4172 0.2500
Ru 0.0000 0.0000 0.0000

Summary:
- Theoretical density: 9.3 g cm⁻³
- Calculated formation energy: -0.1799 eV per atom


No. 5
# Tb5Hg2Ru2

A geometry-optimized Tb5Hg2Ru2 structure (PBE, the Alexandria database).

Lattice parameters (Å, degrees): 15.9748 7.4658 7.6519 90.00 90.00 90.00
Space group Cmce (No. 64)
One atom of each set of equivalent atoms:
Tb 0.0000 0.0000 0.0000
Tb 0.1205 0.1709 0.3280
Hg 0.2160 0.0000 0.0000
Ru 0.0000 0.1276 0.6313

Summary:
- Theoretical density: 10.2 g cm⁻³
- Calculated formation energy: -0.4171 eV per atom


No. 6
# TbThHgRu

A geometry-optimized TbThHgRu structure (PBE, the Alexandria database).

Lattice parameters (Å, degrees): 7.2820 7.2820 7.2820 90.00 90.00 90.00
Space group F-43m (No. 216)
One atom of each set of equivalent atoms:
Tb 0.0000 0.0000 0.0000
Th 0.0000 0.0000 0.5000
Hg 0.2500 0.2500 0.7500
Ru 0.2500 0.2500 0.2500

Summary:
- Theoretical density: 11.9 g cm⁻³
- Energy above the most stable polymorph in this dataset: 0.1084 eV per atom
- Calculated formation energy: -0.2776 eV per atom


No. 7
# TbThHgRu

A geometry-optimized TbThHgRu structure (PBE, the Alexandria database).

Lattice parameters (Å, degrees): 4.0967 4.0967 22.5666 90.00 90.00 120.00
Space group R3m (No. 160, hexagonal axes)
One atom of each set of equivalent atoms:
Tb 0.0000 0.0000 0.0000
Th 0.0000 0.0000 0.2014
Hg 0.0000 0.0000 0.7625
Ru 0.0000 0.0000 0.5972

Summary:
- Theoretical density: 10.5 g cm⁻³
- Energy above the most stable polymorph in this dataset: 0.0000 eV per atom
- Calculated formation energy: -0.3859 eV per atom


No. 8
# TbYHgRu

A geometry-optimized TbYHgRu structure (PBE, the Alexandria database).

Lattice parameters (Å, degrees): 7.1351 7.1351 7.1351 90.00 90.00 90.00
Space group F-43m (No. 216)
One atom of each set of equivalent atoms:
Tb 0.0000 0.0000 0.0000
Y 0.0000 0.0000 0.5000
Hg 0.2500 0.2500 0.2500
Ru 0.2500 0.2500 0.7500

Summary:
- Theoretical density: 10.0 g cm⁻³
- Energy above the most stable polymorph in this dataset: 0.1146 eV per atom
- Calculated formation energy: -0.3523 eV per atom


No. 9
# TbYHgRu

A geometry-optimized TbYHgRu structure (PBE, the Alexandria database).

Lattice parameters (Å, degrees): 3.4935 3.4935 7.5226 90.00 90.00 90.00
Space group P4mm (No. 99)
One atom of each set of equivalent atoms:
Tb 0.0000 0.0000 0.0000
Y 0.0000 0.0000 0.5584
Hg 0.5000 0.5000 0.2808
Ru 0.5000 0.5000 0.7808

Summary:
- Theoretical density: 9.9 g cm⁻³
- Energy above the most stable polymorph in this dataset: 0.0000 eV per atom
- Calculated formation energy: -0.4669 eV per atom


No. 10
# TcHgRu2

A geometry-optimized TcHgRu2 structure (PBE, the Alexandria database).

Lattice parameters (Å, degrees): 2.8135 3.8179 5.8777 90.00 90.00 90.00
Space group Pmmm (No. 47)
One atom of each set of equivalent atoms:
Tc 0.0000 0.0000 0.0000
Hg 0.0000 0.0000 0.5000
Ru 0.5000 0.5000 0.2181

Summary:
- Theoretical density: 13.2 g cm⁻³
- Calculated formation energy: 0.3794 eV per atom


No. 11
# TcHgRu

A geometry-optimized TcHgRu structure (PBE, the Alexandria database).

Lattice parameters (Å, degrees): 2.8920 4.8333 14.4467 90.00 90.00 90.00
Space group Fmm2 (No. 42)
One atom of each set of equivalent atoms:
Tc 0.0000 0.0000 0.0000
Hg 0.0000 0.0000 0.3200
Ru 0.0000 0.0000 0.6430

Summary:
- Theoretical density: 13.1 g cm⁻³
- Energy above the most stable polymorph in this dataset: 0.2990 eV per atom
- Calculated formation energy: 0.5729 eV per atom


No. 12
# TcHgRu2

A geometry-optimized TcHgRu2 structure (PBE, the Alexandria database).

Lattice parameters (Å, degrees): 2.8450 4.7513 9.5335 90.00 90.00 90.00
Space group Cmm2 (No. 35)
One atom of each set of equivalent atoms:
Tc 0.0000 0.0000 0.0000
Hg 0.0000 0.5000 0.7262
Ru 0.0000 0.0000 0.4605
Ru 0.0000 0.5000 0.2270

Summary:
- Theoretical density: 12.9 g cm⁻³
- Calculated formation energy: 0.6202 eV per atom


| no. | raw total energy (Ry per atom) | N(E_F) (states/eV/atom) | total magnetization (μB/atom) |
| --- | --- | --- | --- |
| 1 | -0.324 | 0.862 | 0.000 |
| 2 | -0.380 | 0.750 | 0.000 |
| 3 | -0.326 | 0.945 | 0.000 |
| 4 | -0.357 | 0.946 | 0.000 |
| 5 | -0.376 | 0.769 | 0.000 |
| 6 | -0.418 | 0.840 | 0.000 |
| 7 | -0.426 | 0.654 | 0.000 |
| 8 | -0.406 | 1.034 | 0.000 |
| 9 | -0.414 | 0.676 | 0.000 |
| 10 | -0.509 | 1.313 | 0.000 |
| 11 | -0.447 | 1.098 | 0.000 |
| 12 | -0.491 | 1.285 | 0.186 |